Compound: MnInAu
Source: Alexandria via LeMat-Bulk
Functional: PBE
Structure: relaxed

```
MnInAu
1.0
5.931 -0.002 0.002
5.087 3.049 -0.001
0.844 0.235 3.042
Au In Mn
1 1 1
Direct
0.012 0.012 0.988
0.328 0.328 0.672
0.659 0.659 0.341
```

## Properties
- DFT total energy: -0.18467 hartree per atom

***

Compound: CrP
Source: Alexandria via LeMat-Bulk
Functional: PBE
Structure: relaxed

```
CrP
1.0
3.071 0.000 0.000
-1.536 2.660 0.000
0.000 0.000 3.006
P Cr
1 1
Direct
0.333 0.667 0.000
0.667 0.333 0.500
```

## Properties
- DFT total energy: -0.29514 hartree per atom

***

Compound: Ac5Nd2Pt5
Source: Alexandria via LeMat-Bulk
Functional: PBE
Structure: relaxed

```
Ac5Nd2Pt5
1.0
-2.717 3.219 0.601
-4.193 0.430 -6.196
-11.145 -6.934 1.820
Pt Nd Ac
5 2 5
Direct
0.114 0.190 0.581
0.689 0.436 0.185
0.311 0.564 0.815
0.886 0.810 0.419
0.000 0.000 0.000
0.041 0.704 0.213
0.959 0.296 0.787
0.500 0.500 0.500
0.742 0.874 0.642
0.346 0.257 0.050
0.654 0.743 0.950
0.258 0.126 0.358
```

## Properties
- DFT total energy: -0.22102 hartree per atom

***

Compound: Al6AgW
Source: Alexandria via LeMat-Bulk
Functional: PBE
Structure: relaxed

```
Al6AgW
1.0
0.339 -2.207 -4.924
5.315 0.880 -3.372
4.571 -3.627 0.269
Al Ag W
6 1 1
Direct
0.753 0.038 0.440
0.798 0.720 0.000
0.247 0.962 0.560
0.753 0.477 0.560
0.202 0.280 0.000
0.247 0.523 0.440
0.000 0.000 0.000
0.500 0.500 0.000
```

## Properties
- DFT total energy: -0.16300 hartree per atom

***

Compound: Ca2MnP
Source: Alexandria via LeMat-Bulk
Functional: PBE
Structure: relaxed

```
Ca2MnP
1.0
-1.432 -2.966 -5.904
-4.271 -3.928 -3.470
-2.734 2.531 -2.188
Mn Ca P
1 2 1
Direct
0.435 0.435 0.565
0.243 0.243 0.257
0.005 0.005 0.995
0.818 0.818 0.682
```

## Properties
- DFT total energy: -0.18174 hartree per atom

***

Compound: Pr2Dy5Ho4
Source: Alexandria via LeMat-Bulk
Functional: PBE
Structure: relaxed

```
Pr2Dy5Ho4
1.0
3.422 0.000 -0.521
-0.193 8.646 -1.263
0.086 0.355 12.045
Pr Dy Ho
2 5 4
Direct
0.907 0.256 0.814
0.093 0.744 0.186
0.141 0.124 0.282
0.766 0.175 0.532
0.859 0.876 0.718
0.234 0.825 0.468
0.500 0.000 0.000
0.678 0.473 0.355
0.322 0.527 0.645
0.954 0.639 0.909
0.046 0.361 0.091
```

## Properties
- DFT total energy: -0.16440 hartree per atom
- E above lowest polymorph: 0 meV per atom

***

Compound: Na2CuPdO4
Source: Alexandria via LeMat-Bulk
Functional: PBE
Structure: relaxed

```
Na2CuPdO4
1.0
5.842 0.000 0.000
2.921 4.195 0.000
2.921 0.000 4.195
O Na Pd Cu
4 2 1 1
Direct
0.588 0.000 0.316
0.096 0.316 0.000
0.904 0.000 0.684
0.412 0.684 0.000
0.500 0.500 0.500
0.000 0.500 0.500
0.000 0.000 0.000
0.500 0.000 0.000
```

## Properties
- DFT total energy: -0.16576 hartree per atom
- Formation energy from raw total energies: -0.54 eV/atom

***

Compound: AgHRh
Source: Alexandria via LeMat-Bulk
Functional: PBE
Structure: relaxed

```
AgHRh
1.0
-1.900 0.537 -2.122
-0.191 -2.455 1.529
-2.898 2.186 3.148
Rh Ag H
1 1 1
Direct
0.667 0.333 0.452
0.000 0.000 0.966
0.333 0.667 0.581
```

## Properties
- DFT total energy: -0.16416 hartree per atom
- E above lowest polymorph: 0 meV per atom

***

Compound: NaBiN2F
Source: Alexandria via LeMat-Bulk
Functional: PBE
Structure: relaxed

```
NaBiN2F
1.0
-1.076 -4.060 -1.160
4.223 -1.050 -0.242
-0.058 -1.260 4.462
Bi N F Na
1 2 1 1
Direct
0.000 0.000 0.000
0.500 0.000 0.000
0.000 0.500 0.000
0.000 0.000 0.500
0.500 0.500 0.500
```

## Properties
- DFT total energy: -0.16372 hartree per atom
- Formation energy from raw total energies: 0.29 eV/atom
- E above lowest polymorph: 0 meV per atom

***

Compound: Sr3HoPa3N8
Source: Alexandria via LeMat-Bulk
Functional: PBE
Structure: relaxed

```
Sr3HoPa3N8
1.0
-0.478 2.951 6.480
5.339 -4.495 -1.488
-0.027 6.633 -3.023
Sr N Ho Pa
3 8 1 3
Direct
0.000 0.000 0.000
0.500 0.500 0.000
0.000 0.500 0.000
0.264 0.528 0.292
0.768 0.536 0.317
0.281 0.049 0.317
0.232 0.464 0.683
0.719 0.951 0.683
0.768 0.049 0.317
0.232 0.951 0.683
0.736 0.472 0.708
0.000 0.000 0.500
0.500 0.500 0.500
0.500 0.000 0.500
0.000 0.500 0.500
```

## Properties
- DFT total energy: -0.30620 hartree per atom
- Formation energy from raw total energies: -1.35 eV/atom

***

Compound: YFeCu3
Source: Alexandria via LeMat-Bulk
Functional: PBE
Structure: relaxed

```
YFeCu3
1.0
-4.545 0.655 -1.829
1.304 -2.423 -4.107
-1.441 -4.259 2.055
Cu Y Fe
3 1 1
Direct
0.000 0.500 0.000
0.500 0.000 0.000
0.000 0.000 0.500
0.000 0.000 0.000
0.500 0.500 0.500
```

## Properties
- DFT total energy: -0.14098 hartree per atom
- E above lowest polymorph: 1218 meV per atom